[1]
Material: SrUNi2S4
Method: DFT, PBE-GGA
State: optimized geometry

As for the total magnetic moment: 0.2498 μB/atom. Its density of states at the Fermi level is 1.0027 states/eV per atom. For the formation energy from raw total energies, the calculation gives -0.9709 eV per atom. The calculation puts the mass density at 6.14 g cm⁻³.

It has space group I222 (No. 23), with a = 6.389 Å, b = 6.408 Å, c = 7.544 Å, α = 90.00°, β = 90.00° and γ = 90.00°. Symmetry generates all atoms from Sr at (0.000, 0.000, 0.000), U at (0.000, 0.000, 0.500), Ni at (0.000, 0.500, 0.242) and S at (0.235, 0.236, 0.273).

---

[2]
Material: SrU3Ni4S12
Method: DFT, PBE-GGA
State: optimized geometry

As for the total magnetic moment: 0.1340 μB/atom. Its density of states at the Fermi level is 1.2232 states/eV per atom. For the formation energy from raw total energies, the calculation gives -0.7859 eV per atom. The calculation puts the mass density at 4.79 g cm⁻³.

It has space group R32 (No. 155, hexagonal axes), with a = 13.1597 Å, b = 13.1597 Å, c = 9.8609 Å, α = 90.00°, β = 90.00° and γ = 120.00°. Symmetry generates all atoms from Sr at (0.0000, 0.0000, 0.0000), U at (0.0000, 0.5607, 0.0000), Ni at (0.0000, 0.0000, 0.5000), Ni at (0.0000, 0.4287, 0.5000), S at (0.0000, 0.5917, 0.5000), S at (0.0000, 0.8402, 0.5000) and S at (0.0505, 0.2095, 0.1847).

---

[3]
Material: SrUNiS4
Method: DFT, PBE-GGA
State: optimized geometry

As for the total magnetic moment: 0.1653 μB/atom. Its density of states at the Fermi level is 0.7042 states/eV per atom. For the formation energy from raw total energies, the calculation gives -1.3055 eV per atom. The calculation puts the mass density at 5.89 g cm⁻³.

It has space group P2_1/m (No. 11), with a = 6.400 Å, b = 5.747 Å, c = 8.208 Å, α = 90.00°, β = 106.68° and γ = 90.00°. Symmetry generates all atoms from Sr at (0.238, 0.250, 0.439), U at (0.246, 0.250, 0.942), Ni at (0.267, 0.750, 0.166), S at (0.067, 0.750, 0.352), S at (0.069, 0.750, 0.904) and S at (0.480, 0.514, 0.773).

---

[4]
Material: SrZrNiS4
Method: DFT, PBE-GGA
State: optimized geometry

As for the total magnetic moment: 0.0000 μB/atom. Its density of states at the Fermi level is 0.5854 states/eV per atom. For the formation energy from raw total energies, the calculation gives -1.2479 eV per atom. The calculation puts the mass density at 4.36 g cm⁻³.

It has space group P2_1/m (No. 11), with a = 6.463 Å, b = 5.529 Å, c = 8.182 Å, α = 90.00°, β = 107.59° and γ = 90.00°. Symmetry generates all atoms from Sr at (0.248, 0.250, 0.444), Zr at (0.226, 0.250, 0.939), Ni at (0.245, 0.750, 0.172), S at (0.062, 0.750, 0.361), S at (0.065, 0.750, 0.900) and S at (0.487, 0.504, 0.791).

---

[5]
Material: Ta2NiS4
Method: DFT, PBE-GGA
State: optimized geometry

As for the total magnetic moment: 0.0256 μB/atom. Its density of states at the Fermi level is 0.5448 states/eV per atom. For the formation energy from raw total energies, the calculation gives -0.8819 eV per atom. The value obtained for the energy above the most stable polymorph in this dataset is 0.0 meV per atom. The calculation puts the mass density at 7.37 g cm⁻³.

It has space group P-3m1 (No. 164), with a = 3.3599 Å, b = 3.3599 Å, c = 12.6436 Å, α = 90.00°, β = 90.00° and γ = 120.00°. Symmetry generates all atoms from Ta at (0.0000, 0.0000, 0.2324), Ni at (0.0000, 0.0000, 0.0000), S at (0.3333, 0.6667, 0.1092) and S at (0.3333, 0.6667, 0.3555).

---

[6]
Material: Ta2NiS
Method: DFT, PBE-GGA
State: optimized geometry

As for the total magnetic moment: 0.0000 μB/atom. Its density of states at the Fermi level is 0.6813 states/eV per atom. For the formation energy from raw total energies, the calculation gives 0.3681 eV per atom. The value obtained for the energy above the most stable polymorph in this dataset is 468.4 meV per atom. The calculation puts the mass density at 9.19 g cm⁻³.

It has space group I-42d (No. 122), with a = 5.493 Å, b = 5.493 Å, c = 10.845 Å, α = 90.00°, β = 90.00° and γ = 90.00°. Symmetry generates all atoms from Ta at (0.237, 0.250, 0.125), Ni at (0.000, 0.000, 0.000) and S at (0.000, 0.000, 0.500).

---

[7]
Material: Ta2NiS5
Method: DFT, PBE-GGA
State: optimized geometry

As for the total magnetic moment: 0.0000 μB/atom. Its density of states at the Fermi level is 0.1412 states/eV per atom. For the formation energy from raw total energies, the calculation gives -0.9327 eV per atom. The calculation puts the mass density at 5.48 g cm⁻³.

It has space group Cmcm (No. 63), with a = 3.424 Å, b = 13.558 Å, c = 15.171 Å, α = 90.00°, β = 90.00° and γ = 90.00°. Symmetry generates all atoms from Ta at (0.000, 0.222, 0.107), Ni at (0.000, 0.300, 0.750), S at (0.000, 0.159, 0.551), S at (0.000, 0.309, 0.250) and S at (0.000, 0.403, 0.635).

---

[8]
Material: TaNi2S4
Method: DFT, PBE-GGA
State: optimized geometry

As for the total magnetic moment: 0.3904 μB/atom. Its density of states at the Fermi level is 0.8203 states/eV per atom. For the formation energy from raw total energies, the calculation gives -0.0299 eV per atom. The calculation puts the mass density at 5.36 g cm⁻³.

It has space group I4/mmm (No. 139), with a = 4.855 Å, b = 4.855 Å, c = 11.206 Å, α = 90.00°, β = 90.00° and γ = 90.00°. Symmetry generates all atoms from Ta at (0.000, 0.000, 0.000), Ni at (0.000, 0.000, 0.398), S at (0.000, 0.000, 0.211) and S at (0.000, 0.500, 0.000).

---

[9]
Material: TaNiS3
Method: DFT, PBE-GGA
State: optimized geometry

As for the total magnetic moment: 0.0000 μB/atom. Its density of states at the Fermi level is 1.1507 states/eV per atom. For the formation energy from raw total energies, the calculation gives 0.4651 eV per atom. The value obtained for the energy above the most stable polymorph in this dataset is 1210.6 meV per atom. The calculation puts the mass density at 6.95 g cm⁻³.

It has space group Pm-3m (No. 221), with a = 4.313 Å, b = 4.313 Å, c = 4.313 Å, α = 90.00°, β = 90.00° and γ = 90.00°. Symmetry generates all atoms from Ta at (0.000, 0.000, 0.000), Ni at (0.500, 0.500, 0.500) and S at (0.000, 0.500, 0.500).

---

[10]
Material: TaNi3S6
Method: DFT, PBE-GGA
State: optimized geometry

As for the total magnetic moment: 0.0000 μB/atom. Its density of states at the Fermi level is 0.6429 states/eV per atom. For the formation energy from raw total energies, the calculation gives -0.3917 eV per atom. The calculation puts the mass density at 5.44 g cm⁻³.

It has space group P2_1/m (No. 11), with a = 9.792 Å, b = 3.420 Å, c = 10.102 Å, α = 90.00°, β = 97.03° and γ = 90.00°. Symmetry generates all atoms from Ta at (0.188, 0.250, 0.045), Ni at (0.032, 0.750, 0.375), Ni at (0.364, 0.250, 0.502), Ni at (0.419, 0.750, 0.831), S at (0.057, 0.750, 0.892), S at (0.133, 0.250, 0.489), S at (0.194, 0.750, 0.230), S at (0.279, 0.250, 0.814), S at (0.380, 0.750, 0.046) and S at (0.454, 0.750, 0.619).

---

[11]
Material: Ta3NiS6
Method: DFT, PBE-GGA
State: optimized geometry

As for the total magnetic moment: 0.0000 μB/atom. Its density of states at the Fermi level is 0.3672 states/eV per atom. For the formation energy from raw total energies, the calculation gives -0.7229 eV per atom. The calculation puts the mass density at 7.69 g cm⁻³.

It has space group Cmc2_1 (No. 36), with a = 9.775 Å, b = 11.937 Å, c = 5.874 Å, α = 90.00°, β = 90.00° and γ = 90.00°. Symmetry generates all atoms from Ta at (0.000, 0.103, 0.000), Ta at (0.154, 0.392, 0.910), Ni at (0.000, 0.276, 0.292), S at (0.000, 0.269, 0.694), S at (0.000, 0.459, 0.240), S at (0.168, 0.029, 0.705) and S at (0.189, 0.217, 0.144).

---

[12]
Material: Ta2NiS4
Method: DFT, PBE-GGA
State: optimized geometry

As for the total magnetic moment: 0.0714 μB/atom. Its density of states at the Fermi level is 0.8874 states/eV per atom. For the formation energy from raw total energies, the calculation gives 0.1097 eV per atom. The value obtained for the energy above the most stable polymorph in this dataset is 991.6 meV per atom. The calculation puts the mass density at 7.43 g cm⁻³.

It has space group I4/mmm (No. 139), with a = 4.431 Å, b = 4.431 Å, c = 12.498 Å, α = 90.00°, β = 90.00° and γ = 90.00°. Symmetry generates all atoms from Ta at (0.000, 0.000, 0.113), Ni at (0.000, 0.000, 0.500), S at (0.000, 0.000, 0.303) and S at (0.000, 0.500, 0.000).

---

[13]
Material: TaNiS3
Method: DFT, PBE-GGA
State: optimized geometry

As for the total magnetic moment: 0.0000 μB/atom. Its density of states at the Fermi level is 0.4411 states/eV per atom. For the formation energy from raw total energies, the calculation gives -0.5626 eV per atom. The value obtained for the energy above the most stable polymorph in this dataset is 182.8 meV per atom. The calculation puts the mass density at 6.42 g cm⁻³.

It has space group C2/m (No. 12), with a = 13.992 Å, b = 3.321 Å, c = 7.577 Å, α = 90.00°, β = 99.06° and γ = 90.00°. Symmetry generates all atoms from Ta at (0.166, 0.000, 0.263), Ni at (0.105, 0.500, 0.735), S at (0.003, 0.000, 0.299), S at (0.145, 0.500, 0.036) and S at (0.197, 0.000, 0.616).

---

[14]
Material: TaNiS4
Method: DFT, PBE-GGA
State: optimized geometry

As for the total magnetic moment: 0.0000 μB/atom. Its density of states at the Fermi level is 0.7184 states/eV per atom. For the formation energy from raw total energies, the calculation gives -0.5611 eV per atom. The calculation puts the mass density at 4.78 g cm⁻³.

It has space group P2/m (No. 10), with a = 5.793 Å, b = 3.430 Å, c = 6.428 Å, α = 90.00°, β = 90.94° and γ = 90.00°. Symmetry generates all atoms from Ta at (0.000, 0.000, 0.000), Ni at (0.500, 0.500, 0.000), S at (0.185, 0.500, 0.223) and S at (0.345, 0.000, 0.792).

---

[15]
Material: Ta2NiS
Method: DFT, PBE-GGA
State: optimized geometry

As for the total magnetic moment: 0.0000 μB/atom. Its density of states at the Fermi level is 0.8674 states/eV per atom. For the formation energy from raw total energies, the calculation gives -0.1003 eV per atom. The value obtained for the energy above the most stable polymorph in this dataset is 0.0 meV per atom. The calculation puts the mass density at 12.80 g cm⁻³.

It has space group Fm-3m (No. 225), with a = 6.170 Å, b = 6.170 Å, c = 6.170 Å, α = 90.00°, β = 90.00° and γ = 90.00°. Symmetry generates all atoms from Ta at (0.250, 0.250, 0.250), Ni at (0.000, 0.000, 0.000) and S at (0.000, 0.000, 0.500).

---

[16]
Material: TaNiS
Method: DFT, PBE-GGA
State: optimized geometry

As for the total magnetic moment: 0.0000 μB/atom. Its density of states at the Fermi level is 0.4346 states/eV per atom. For the formation energy from raw total energies, the calculation gives -0.5328 eV per atom. The calculation puts the mass density at 10.07 g cm⁻³.

It has space group P4_2/m (No. 84), with a = 7.347 Å, b = 7.347 Å, c = 3.320 Å, α = 90.00°, β = 90.00° and γ = 90.00°. Symmetry generates all atoms from Ta at (0.055, 0.769, 0.000), Ni at (0.152, 0.431, 0.500) and S at (0.300, 0.696, 0.500).

---

[17]
Material: Ta2Ni2S
Method: DFT, PBE-GGA
State: optimized geometry

As for the total magnetic moment: 0.0000 μB/atom. Its density of states at the Fermi level is 1.0978 states/eV per atom. For the formation energy from raw total energies, the calculation gives 0.0151 eV per atom. The value obtained for the energy above the most stable polymorph in this dataset is 0.0 meV per atom. The calculation puts the mass density at 11.94 g cm⁻³.

It has space group P4/mbm (No. 127), with a = 5.753 Å, b = 5.753 Å, c = 4.297 Å, α = 90.00°, β = 90.00° and γ = 90.00°. Symmetry generates all atoms from Ta at (0.170, 0.330, 0.000), Ni at (0.146, 0.646, 0.500) and S at (0.000, 0.000, 0.500).

---

[18]
Material: TaNiS3
Method: DFT, PBE-GGA
State: optimized geometry

As for the total magnetic moment: 0.0000 μB/atom. Its density of states at the Fermi level is 0.5668 states/eV per atom. For the formation energy from raw total energies, the calculation gives -0.7454 eV per atom. The value obtained for the energy above the most stable polymorph in this dataset is 0.0 meV per atom. The calculation puts the mass density at 5.50 g cm⁻³.

It has space group P2_1/m (No. 11), with a = 5.912 Å, b = 3.372 Å, c = 10.283 Å, α = 90.00°, β = 98.29° and γ = 90.00°. Symmetry generates all atoms from Ta at (0.007, 0.250, 0.187), Ni at (0.325, 0.250, 0.743), S at (0.174, 0.750, 0.625), S at (0.220, 0.250, 0.949) and S at (0.298, 0.750, 0.257).

---

[19]
Material: Ta2Ni2S
Method: DFT, PBE-GGA
State: optimized geometry

As for the total magnetic moment: 0.0000 μB/atom. Its density of states at the Fermi level is 0.5974 states/eV per atom. For the formation energy from raw total energies, the calculation gives 0.4361 eV per atom. The value obtained for the energy above the most stable polymorph in this dataset is 421.0 meV per atom. The calculation puts the mass density at 9.98 g cm⁻³.

It has space group I4/mmm (No. 139), with a = 4.232 Å, b = 4.232 Å, c = 9.501 Å, α = 90.00°, β = 90.00° and γ = 90.00°. Symmetry generates all atoms from Ta at (0.000, 0.500, 0.250), Ni at (0.000, 0.000, 0.116) and S at (0.000, 0.000, 0.500).

---

[20]
Material: Ta2NiS
Method: DFT, PBE-GGA
State: optimized geometry

As for the total magnetic moment: 0.0000 μB/atom. Its density of states at the Fermi level is 1.2405 states/eV per atom. For the formation energy from raw total energies, the calculation gives 0.3124 eV per atom. The value obtained for the energy above the most stable polymorph in this dataset is 412.7 meV per atom. The calculation puts the mass density at 11.40 g cm⁻³.

It has space group R-3m (No. 166, hexagonal axes), with a = 2.9510 Å, b = 2.9510 Å, c = 26.2387 Å, α = 90.00°, β = 90.00° and γ = 120.00°. Symmetry generates all atoms from Ta at (0.0000, 0.0000, 0.0932), Ni at (0.0000, 0.0000, 0.0000) and S at (0.0000, 0.0000, 0.5000).

---

[21]
Material: TaTlNiS4
Method: DFT, PBE-GGA
State: optimized geometry

As for the total magnetic moment: 0.1805 μB/atom. Its density of states at the Fermi level is 0.7623 states/eV per atom. For the formation energy from raw total energies, the calculation gives -0.5271 eV per atom. The calculation puts the mass density at 6.10 g cm⁻³.

It has space group P2_1/m (No. 11), with a = 5.799 Å, b = 6.746 Å, c = 7.984 Å, α = 90.00°, β = 94.53° and γ = 90.00°. Symmetry generates all atoms from Ta at (0.183, 0.250, 0.437), Tl at (0.192, 0.750, 0.062), Ni at (0.340, 0.750, 0.654), S at (0.094, 0.002, 0.677), S at (0.337, 0.250, 0.172) and S at (0.456, 0.750, 0.403).

---

[22]
Material: Ta2V2NiS6
Method: DFT, PBE-GGA
State: optimized geometry

As for the total magnetic moment: 0.3148 μB/atom. Its density of states at the Fermi level is 0.6531 states/eV per atom. For the formation energy from raw total energies, the calculation gives -0.6502 eV per atom. The calculation puts the mass density at 6.72 g cm⁻³.

It has space group C2/m (No. 12), with a = 5.879 Å, b = 11.061 Å, c = 5.814 Å, α = 90.00°, β = 110.91° and γ = 90.00°. Symmetry generates all atoms from Ta at (0.000, 0.187, 0.000), V at (0.000, 0.326, 0.500), Ni at (0.000, 0.500, 0.000), S at (0.234, 0.500, 0.766) and S at (0.246, 0.155, 0.740).